1.
Ho2Er6S3 | Alexandria | GGA-PBE | relaxed; DFT total energy = -5.470 eV per atom; space group = No. 166; volume = 26.04 Å³ per atom; raw formation energy = -11.3 eV/f.u.
1.0
-0.926 -3.328 1.319
-1.038 -2.685 -2.320
22.367 -9.194 -2.317
S Ho Er
3 2 6
direct
0.000 0.000 0.000
0.712 0.712 0.863
0.288 0.288 0.137
0.442 0.442 0.674
0.558 0.558 0.326
0.186 0.186 0.443
0.814 0.814 0.557
0.643 0.643 0.071
0.357 0.357 0.929
0.931 0.931 0.208
0.069 0.069 0.792

***

2.
Pu5HfPt6 | Alexandria | GGA-PBE | relaxed; DFT total energy = -10.590 eV per atom; space group = No. 71; volume = 21.09 Å³ per atom
1.0
0.174 2.794 -3.928
6.951 -0.838 -0.288
-4.470 -7.015 -2.228
Pu Pt Hf
5 6 1
direct
0.664 0.664 0.329
0.318 0.818 0.635
0.682 0.182 0.365
0.336 0.336 0.671
0.000 0.500 0.000
0.500 0.786 0.000
0.850 0.620 0.701
0.500 0.214 0.000
0.850 0.080 0.701
0.150 0.920 0.299
0.150 0.380 0.299
0.000 0.000 0.000

***

3.
ScMnTl | Alexandria | GGA-PBE | relaxed; DFT total energy = -5.919 eV per atom; space group = No. 107; volume = 20.01 Å³ per atom
1.0
-5.239 -1.130 -2.209
-2.043 -4.606 -2.865
2.985 1.874 4.602
Sc Mn Tl
1 1 1
direct
0.654 0.654 0.000
0.001 0.001 0.000
0.345 0.345 0.000

***

4.
BaTmCd2In2 | Alexandria | GGA-PBE | relaxed; DFT total energy = -2.674 eV per atom; space group = No. 164; volume = 29.55 Å³ per atom
1.0
4.985 0.000 0.000
-2.492 4.317 0.000
0.000 0.000 8.239
In Ba Tm Cd
2 1 1 2
direct
0.333 0.667 0.297
0.667 0.333 0.703
0.000 0.000 0.000
0.000 0.000 0.500
0.333 0.667 0.689
0.667 0.333 0.311

***

5.
ZrMoHRh2 | Alexandria | GGA-PBE | relaxed; DFT total energy = -7.800 eV per atom; space group = No. 123; volume = 13.33 Å³ per atom
1.0
4.036 0.000 0.000
0.000 4.036 0.000
0.000 0.000 4.092
Zr H Rh Mo
1 1 2 1
direct
0.500 0.500 0.500
0.000 0.000 0.000
0.500 0.000 0.000
0.000 0.500 0.000
0.000 0.000 0.500

***

6.
AgBiPb | Alexandria | GGA-PBE | relaxed; DFT total energy = -3.357 eV per atom; space group = No. 156; volume = 29.47 Å³ per atom
1.0
-1.291 4.065 1.437
-3.448 0.067 -3.285
-0.864 -1.803 4.323
Bi Ag Pb
1 1 1
direct
0.232 0.333 0.667
0.045 0.000 0.000
0.723 0.667 0.333

***

7.
ZrBe2TeOs | Alexandria | GGA-PBE | relaxed; DFT total energy = -4.135 eV per atom; space group = No. 123; volume = 20.85 Å³ per atom; raw formation energy = 9.7 eV/f.u.
1.0
-1.132 4.179 -0.988
-3.888 -0.208 3.576
2.788 1.492 3.118
Be Te Os Zr
2 1 1 1
direct
0.500 0.000 0.000
0.000 0.000 0.500
0.000 0.500 0.000
0.500 0.500 0.500
0.000 0.000 0.000

***

8.
YAl2Fe | Alexandria | GGA-PBE | relaxed; DFT total energy = -5.660 eV per atom; space group = No. 6; volume = 18.60 Å³ per atom
1.0
-3.246 1.663 -2.049
-1.792 -2.261 1.003
-1.987 2.352 5.058
Al Fe Y
2 1 1
direct
0.000 0.144 0.034
0.500 0.104 0.287
0.000 0.512 0.408
0.500 0.740 0.771

***

9.
Ag3IClF | Alexandria | GGA-PBE | relaxed; DFT total energy = -2.830 eV per atom; space group = No. 11; volume = 25.00 Å³ per atom; raw formation energy = -3.2 eV/f.u.
1.0
4.117 0.000 0.000
0.000 9.494 0.808
0.000 -2.606 7.453
Ag Cl I F
6 2 2 2
direct
0.750 0.918 0.073
0.250 0.082 0.927
0.750 0.418 0.161
0.250 0.582 0.839
0.250 0.828 0.462
0.750 0.172 0.538
0.250 0.612 0.193
0.750 0.388 0.807
0.250 0.225 0.264
0.750 0.775 0.736
0.750 0.933 0.351
0.250 0.067 0.649

***

10.
DyLu2Mg | Alexandria | GGA-PBE | relaxed; DFT total energy = -3.789 eV per atom; space group = No. 166; volume = 28.68 Å³ per atom
1.0
3.455 0.000 0.000
1.727 2.992 0.000
1.727 0.997 11.098
Lu Dy Mg
2 1 1
direct
0.748 0.748 0.757
0.252 0.252 0.243
0.500 0.500 0.500
0.000 0.000 0.000

***

11.
SmHg2TeO6 | Alexandria | GGA-PBE | relaxed; DFT total energy = -5.108 eV per atom; space group = No. 148; volume = 14.70 Å³ per atom; raw formation energy = -12.9 eV/f.u.
1.0
5.828 0.000 0.000
2.914 5.048 0.000
2.914 1.683 4.996
O Hg Sm Te
6 2 1 1
direct
0.439 0.650 0.820
0.650 0.091 0.820
0.091 0.439 0.820
0.542 0.193 0.283
0.193 0.983 0.283
0.983 0.542 0.283
0.568 0.568 0.295
0.063 0.063 0.810
0.816 0.816 0.552
0.316 0.316 0.051

***

12.
PmTh2O | Alexandria | GGA-PBE | relaxed; DFT total energy = -7.079 eV per atom; space group = No. 166; volume = 26.99 Å³ per atom; raw formation energy = -3.8 eV/f.u.
1.0
-1.243 0.191 3.289
1.579 -1.794 2.585
6.100 7.339 3.765
Th Pm O
2 1 1
direct
0.116 0.116 0.652
0.884 0.884 0.348
0.000 0.000 0.000
0.500 0.500 0.500